Model i:
TcPH (PBE, relaxed); DOS(E_F) = 1.7 states/eV/f.u.; magnetic moment = 0.0 μB/cell
1.0
3.477 0.000 0.000
-1.738 3.011 0.000
0.000 0.000 2.950
Tc P H
1 1 1
Cartesian
0.000 0.000 0.000 Tc
1.738 1.004 1.475 P
0.000 2.007 0.000 H


Model ii:
TcPH (PBE, relaxed); DOS(E_F) = 0.7 states/eV/f.u.; magnetic moment = 0.0 μB/cell
1.0
3.269 0.000 0.000
1.505 4.116 0.000
0.454 0.701 4.780
Tc P H
2 2 2
Cartesian
0.686 0.970 0.999 Tc
4.542 3.846 3.781 Tc
1.362 1.501 3.337 P
3.866 3.316 1.444 P
2.902 3.147 3.801 H
2.326 1.669 0.979 H


Compare the structures above. Which one is the most stable? model ii is.